This record from Alexandria via LeMat-Bulk describes a relaxed structure of Na3Tl3CoF8. The functional is PBE+U.

## Properties
* symmetry: R-3m
* calculated volume: 263.0 Å³/cell
* final energy: -4.27 eV/atom

```
Na3Tl3CoF8
1.0
-0.6600 6.6228 1.8835
-4.4843 -4.7215 2.3265
6.9369 -0.1195 2.8523
F Tl Na Co
8 3 3 1
Direct
0.7316 0.4632 0.6946 F
0.2065 0.4131 0.6793 F
0.7658 0.9728 0.6793 F
0.7930 0.0273 0.3207 F
0.7935 0.5869 0.3207 F
0.2684 0.5368 0.3054 F
0.2070 0.9727 0.6793 F
0.2342 0.0272 0.3207 F
0.0000 0.0000 0.0000 Tl
0.5000 0.5000 0.0000 Tl
0.0000 0.5000 0.0000 Tl
0.0000 0.5000 0.5000 Na
0.5000 0.0000 0.5000 Na
0.5000 0.5000 0.5000 Na
0.0000 0.0000 0.5000 Co
```